Record 1
DFT (PBE-GGA) results for an optimized crystal structure of Ca2CdRu.

Properties
Space group: F-43m, No. 216
E: -3.38 eV/atom
V: 22.46 Å³/atom

a = 5.027 Å, b = 5.027 Å, c = 5.027 Å
α = 60.00°, β = 60.00°, γ = 60.00°
Atoms (fractional coordinates):
1 Ca 0.000 0.000 0.000
2 Ca 0.250 0.250 0.250
3 Cd 0.500 0.500 0.500
4 Ru 0.750 0.750 0.750

Record 2
DFT (PBE-GGA) results for an optimized crystal structure of CaCd2Ru.

Properties
Space group: F-43m, No. 216
E: -3.11 eV/atom
V: 20.59 Å³/atom

a = 4.883 Å, b = 4.883 Å, c = 4.883 Å
α = 60.00°, β = 60.00°, γ = 60.00°
Atoms (fractional coordinates):
1 Ca 0.000 0.000 0.000
2 Cd 0.500 0.500 0.500
3 Cd 0.750 0.750 0.750
4 Ru 0.250 0.250 0.250

Record 3
DFT (PBE-GGA) results for an optimized crystal structure of CaCdRu.

Properties
Space group: F-43m, No. 216
E: -3.63 eV/atom
V: 23.97 Å³/atom

a = 4.668 Å, b = 4.668 Å, c = 4.668 Å
α = 60.00°, β = 60.00°, γ = 60.00°
Atoms (fractional coordinates):
1 Ca 0.000 0.000 0.000
2 Cd 0.500 0.500 0.500
3 Ru 0.750 0.750 0.750

Record 4
DFT (PBE-GGA) results for an optimized crystal structure of Ca2CdRu.

Properties
Space group: Cm, No. 8
E: -3.48 eV/atom
V: 24.34 Å³/atom

a = 6.166 Å, b = 6.166 Å, c = 5.085 Å
α = 113.97°, β = 113.97°, γ = 33.81°
Atoms (fractional coordinates):
1 Ca 0.000 0.000 0.000
2 Ca 0.203 0.203 0.701
3 Cd 0.784 0.784 0.282
4 Ru 0.479 0.479 0.481

Record 5
DFT (PBE-GGA) results for an optimized crystal structure of CaCd2Ru.

Properties
Space group: P4mm, No. 99
E: -3.14 eV/atom
V: 21.89 Å³/atom

a = 3.546 Å, b = 3.546 Å, c = 6.964 Å
α = 90.00°, β = 90.00°, γ = 90.00°
Atoms (fractional coordinates):
1 Ca 0.000 0.000 0.000
2 Cd 0.000 0.000 0.566
3 Cd 0.500 0.500 0.324
4 Ru 0.500 0.500 0.747

Record 6
DFT (PBE-GGA) results for an optimized crystal structure of Ca2CdRu.

Properties
Space group: P4/mmm, No. 123
E: -3.42 eV/atom
V: 23.48 Å³/atom

a = 5.013 Å, b = 5.013 Å, c = 3.738 Å
α = 90.00°, β = 90.00°, γ = 90.00°
Atoms (fractional coordinates):
1 Ca 0.000 0.500 0.000
2 Ca 0.500 0.000 0.000
3 Cd 0.000 0.000 0.500
4 Ru 0.500 0.500 0.500

Record 7
DFT (PBE-GGA) results for an optimized crystal structure of Ca5CdS6.

Properties
Formation energy (no corrections): -1.8685 eV/atom
Space group: C2/m, No. 12
E: -4.84 eV/atom
V: 22.93 Å³/atom

a = 6.959 Å, b = 6.959 Å, c = 6.957 Å
α = 99.59°, β = 99.59°, γ = 120.00°
Atoms (fractional coordinates):
1 Ca 0.000 0.000 0.000
2 Ca 0.167 0.833 0.500
3 Ca 0.334 0.666 0.000
4 Ca 0.666 0.334 0.000
5 Ca 0.833 0.167 0.500
6 Cd 0.500 0.500 0.500
7 S 0.087 0.417 0.251
8 S 0.252 0.252 0.748
9 S 0.417 0.087 0.251
10 S 0.583 0.913 0.749
11 S 0.748 0.748 0.252
12 S 0.913 0.583 0.749

Record 8
DFT (PBE-GGA) results for an optimized crystal structure of CaCdS.

Properties
Formation energy (no corrections): -1.1597 eV/atom
Relative energy among the computed polymorphs: 126 meV/atom
Space group: Cmcm, No. 63
E: -3.51 eV/atom
V: 24.44 Å³/atom

a = 6.841 Å, b = 6.841 Å, c = 5.556 Å
α = 90.00°, β = 90.00°, γ = 145.66°
Atoms (fractional coordinates):
1 Ca 0.168 0.832 0.750
2 Ca 0.832 0.168 0.250
3 Cd 0.462 0.538 0.750
4 Cd 0.538 0.462 0.250
5 S 0.185 0.815 0.250
6 S 0.815 0.185 0.750

Record 9
DFT (PBE-GGA) results for an optimized crystal structure of Ca3CdS4.

Properties
Formation energy (no corrections): -1.7322 eV/atom
Space group: P4/mmm, No. 123
E: -4.66 eV/atom
V: 22.72 Å³/atom

a = 4.008 Å, b = 4.008 Å, c = 11.315 Å
α = 90.00°, β = 90.00°, γ = 90.00°
Atoms (fractional coordinates):
1 Ca 0.000 0.000 0.000
2 Ca 0.500 0.500 0.254
3 Ca 0.500 0.500 0.746
4 Cd 0.000 0.000 0.500
5 S 0.000 0.000 0.254
6 S 0.000 0.000 0.746
7 S 0.500 0.500 0.000
8 S 0.500 0.500 0.500

Record 10
DFT (PBE-GGA) results for an optimized crystal structure of Ca2CdS3.

Properties
Formation energy (no corrections): -1.5902 eV/atom
Space group: Immm, No. 71
E: -4.47 eV/atom
V: 22.51 Å³/atom

a = 6.888 Å, b = 6.888 Å, c = 6.888 Å
α = 146.22°, β = 131.36°, γ = 60.53°
Atoms (fractional coordinates):
1 Ca 0.166 0.166 0.000
2 Ca 0.834 0.834 0.000
3 Cd 0.500 0.500 0.000
4 S 0.000 0.500 0.500
5 S 0.338 0.838 0.500
6 S 0.662 0.162 0.500

Record 11
DFT (PBE-GGA) results for an optimized crystal structure of CaCdS.

Properties
Formation energy (no corrections): -1.1436 eV/atom
Relative energy among the computed polymorphs: 142 meV/atom
Space group: R-3m, No. 166
E: -3.49 eV/atom
V: 28.53 Å³/atom

a = 9.120 Å, b = 9.120 Å, c = 9.120 Å
α = 30.31°, β = 30.31°, γ = 30.31°
Atoms (fractional coordinates):
1 Ca 0.109 0.109 0.109
2 Ca 0.891 0.891 0.891
3 Cd 0.321 0.321 0.321
4 Cd 0.679 0.679 0.679
5 S 0.217 0.217 0.217
6 S 0.783 0.783 0.783

Record 12
DFT (PBE-GGA) results for an optimized crystal structure of CaCd2S.

Properties
Formation energy (no corrections): -0.6296 eV/atom
Space group: I-42d, No. 122
E: -2.62 eV/atom
V: 25.28 Å³/atom

a = 6.661 Å, b = 6.661 Å, c = 6.661 Å
α = 99.78°, β = 99.78°, γ = 131.33°
Atoms (fractional coordinates):
1 Ca 0.000 0.000 0.000
2 Ca 0.750 0.250 0.500
3 Cd 0.173 0.625 0.048
4 Cd 0.375 0.423 0.548
5 Cd 0.577 0.125 0.952
6 Cd 0.875 0.827 0.452
7 S 0.250 0.750 0.500
8 S 0.500 0.500 0.000

Record 13
DFT (PBE-GGA) results for an optimized crystal structure of CaCdS.

Properties
Formation energy (no corrections): -1.2853 eV/atom
Relative energy among the computed polymorphs: 0 meV/atom
Space group: P4/nmm, No. 129
E: -3.63 eV/atom
V: 24.09 Å³/atom

a = 4.025 Å, b = 4.025 Å, c = 8.920 Å
α = 90.00°, β = 90.00°, γ = 90.00°
Atoms (fractional coordinates):
1 Ca 0.250 0.250 0.166
2 Ca 0.750 0.750 0.834
3 Cd 0.250 0.250 0.542
4 Cd 0.750 0.750 0.458
5 S 0.250 0.250 0.847
6 S 0.750 0.750 0.153

Record 14
DFT (PBE-GGA) results for an optimized crystal structure of Ca3CdS.

Properties
Formation energy (no corrections): -0.8394 eV/atom
Relative energy among the computed polymorphs: 0 meV/atom
Space group: Pm-3m, No. 221
E: -3.05 eV/atom
V: 31.51 Å³/atom

a = 5.401 Å, b = 5.401 Å, c = 5.401 Å
α = 90.00°, β = 90.00°, γ = 90.00°
Atoms (fractional coordinates):
1 Ca 0.000 0.000 0.500
2 Ca 0.000 0.500 0.000
3 Ca 0.500 0.000 0.000
4 Cd 0.500 0.500 0.500
5 S 0.000 0.000 0.000